Here is an optimized crystal structure of Ca2NpZnN4 from Alexandria. Energies are from GGA-PBE.

Results
- Formation energy from raw total energies: -854 meV per atom

a = 5.5095 Å, b = 3.6286 Å, c = 5.7586 Å
α = 90.00°, β = 101.38°, γ = 90.00°
Closest atoms and distances in Å follow each position.
Fractional coordinates of all 8 atoms:
1 Ca 0.0000 0.0000 0.0000  6 N 2.40-2.43
2 Ca 0.5000 0.5000 0.0000  6 N 2.45-2.66
3 Np 0.0000 0.5000 0.5000  2 N 1.93
4 Zn 0.5000 0.0000 0.5000  2 N 1.97
5 N 0.1892 0.5000 0.2520  1 Np 1.93
6 N 0.2545 0.0000 0.7071  1 Zn 1.97
7 N 0.7455 0.0000 0.2929  1 Zn 1.97
8 N 0.8108 0.5000 0.7480  1 Np 1.93